Entry 1:
# BaSnHPb2

A relaxed structure of BaSnHPb2 (PBE, the Alexandria database).

Results
VASP energy ... -17.5 eV per cell

Lattice parameters (Å, degrees): 5.1522 5.1522 5.1290 90.00 90.00 90.00
Fractional positions:
Pb 0.5000 0.0000 0.0000
Pb 0.0000 0.5000 0.0000
Sn 0.5000 0.5000 0.5000
H 0.0000 0.0000 0.0000
Ba 0.0000 0.0000 0.5000


Entry 2:
# Sr2Sn3Pt2

A relaxed structure of Sr2Sn3Pt2 (PBE, the Alexandria database).

Results
ΔE_f ... -706 meV per atom
E above lowest polymorph ... 0.000 eV/atom

Lattice parameters (Å, degrees): 4.4313 6.1341 7.8099 113.73 90.00 111.17
Fractional positions:
Pt 0.8593 0.7185 0.7683
Pt 0.1407 0.2815 0.2317
Sn 0.6282 0.2565 0.4458
Sn 0.3718 0.7435 0.5542
Sn 0.5000 0.0000 0.0000
Sr 0.8536 0.7072 0.2100
Sr 0.1464 0.2928 0.7900


Entry 3:
# Tm2ScCr2C4

A relaxed structure of Tm2ScCr2C4 (PBE, the Alexandria database).

Results
ΔE_f ... -221 meV per atom

Lattice parameters (Å, degrees): 3.3089 6.5367 5.7864 109.15 90.00 104.66
Fractional positions:
C 0.7839 0.5677 0.8011
C 0.5336 0.0672 0.7523
C 0.4664 0.9328 0.2477
C 0.2161 0.4323 0.1989
Sc 0.0000 0.0000 0.0000
Tm 0.1315 0.2630 0.5359
Tm 0.8685 0.7370 0.4641
Cr 0.3235 0.6471 0.0096
Cr 0.6765 0.3529 0.9904


Entry 4:
# TlReP2

A relaxed structure of TlReP2 (PBE, the Alexandria database).

Results
ΔE_f ... 449 meV per atom
E above lowest polymorph ... 0.438 eV/atom

Lattice parameters (Å, degrees): 4.3362 3.5575 5.2790 76.50 90.00 90.00
Fractional positions:
P 0.0000 0.0458 0.1143
P 0.0000 0.4542 0.3857
Re 0.5000 0.2500 0.2500
Tl 0.5000 0.7500 0.7500


Entry 5:
# Ca2AlRe

A relaxed structure of Ca2AlRe (PBE, the Alexandria database).

Results
ΔE_f ... 544 meV per atom

Lattice parameters (Å, degrees): 4.6429 4.2940 4.2940 90.00 90.00 90.00
Fractional positions:
Re 0.5000 0.5000 0.0000
Al 0.5000 0.0000 0.5000
Ca 0.0000 0.0000 0.0000
Ca 0.0000 0.5000 0.5000


Entry 6:
# CeScCoIr

A relaxed structure of CeScCoIr (PBE, the Alexandria database).

Results
ΔE_f ... -480 meV per atom

Lattice parameters (Å, degrees): 4.7057 4.7057 4.7057 60.00 60.00 60.00
Fractional positions:
Co 0.5000 0.5000 0.5000
Sc 0.2500 0.2500 0.2500
Ce 0.7500 0.7500 0.7500
Ir 0.0000 0.0000 0.0000


Entry 7:
# TcHSe2N

A relaxed structure of TcHSe2N (PBE, the Alexandria database).

Results
E above lowest polymorph ... 0.737 eV/atom

Lattice parameters (Å, degrees): 3.7953 3.7953 4.3917 90.00 90.00 90.00
Fractional positions:
N 0.0000 0.0000 0.5000
H 0.0000 0.0000 0.0000
Se 0.0000 0.5000 0.0000
Se 0.5000 0.0000 0.0000
Tc 0.5000 0.5000 0.5000


Entry 8:
# LaTbHg

A relaxed structure of LaTbHg (PBE, the Alexandria database).

Results
ΔE_f ... -312 meV per atom
E above lowest polymorph ... 0.018 eV/atom

Lattice parameters (Å, degrees): 3.7593 3.7593 6.9799 105.62 105.62 90.00
Fractional positions:
La 0.0086 0.0086 0.0173
Tb 0.3129 0.3129 0.6258
Hg 0.6784 0.6784 0.3569


Let's list density of states at the Fermi level in order: 0.371 0.447 0.679 0.752 0.967 1.150 0.698 1.094 states/eV per atom.